# Ta2GaAgSb | Alexandria | GGA-PBE | relaxed
# Electronic total energy ... -5.349 eV per atom
# V ... 116.41 Å³ per cell
data_Ta2GaAgSb
_cell_length_a 5.0855
_cell_length_b 5.0855
_cell_length_c 4.5010
_cell_angle_alpha 90.00
_cell_angle_beta 90.00
_cell_angle_gamma 90.00
_space_group_name_H-M_alt 'P 4/m m m'
_space_group_IT_number 123
_space_group_name_Hall '-P 4 2'
loop_
_atom_site_label
_atom_site_fract_x
_atom_site_fract_y
_atom_site_fract_z
_atom_site_occupancy
Ta1 0.0000 0.5000 0.0000 1
Ga1 0.0000 0.0000 0.5000 1
Ag1 0.0000 0.0000 0.0000 1
Sb1 0.5000 0.5000 0.5000 1

# Tl2GaAgSb2 | Alexandria | GGA-PBE | relaxed
# Electronic total energy ... -3.162 eV per atom
# V ... 679.86 Å³ per cell
data_Tl2GaAgSb2
_cell_length_a 6.3225
_cell_length_b 16.3556
_cell_length_c 6.5746
_cell_angle_alpha 90.00
_cell_angle_beta 90.00
_cell_angle_gamma 90.00
_space_group_name_H-M_alt 'I b a m'
_space_group_IT_number 72
_space_group_name_Hall '-I 2 2c'
loop_
_atom_site_label
_atom_site_fract_x
_atom_site_fract_y
_atom_site_fract_z
_atom_site_occupancy
Tl1 0.2284 0.1772 0.0000 1
Ga1 0.0000 0.5000 0.2500 1
Ag1 0.0000 0.0000 0.2500 1
Sb1 0.2276 0.3926 0.0000 1

# TlGaAgSb | Alexandria | GGA-PBE | relaxed
# Electronic total energy ... -3.002 eV per atom
# V ... 385.68 Å³ per cell
data_TlGaAgSb
_cell_length_a 7.2791
_cell_length_b 7.2791
_cell_length_c 7.2791
_cell_angle_alpha 90.00
_cell_angle_beta 90.00
_cell_angle_gamma 90.00
_space_group_name_H-M_alt 'F -4 3 m'
_space_group_IT_number 216
_space_group_name_Hall 'F -4 2 3'
loop_
_atom_site_label
_atom_site_fract_x
_atom_site_fract_y
_atom_site_fract_z
_atom_site_occupancy
Tl1 0.0000 0.0000 0.0000 1
Ga1 0.2500 0.2500 0.2500 1
Ag1 0.2500 0.2500 0.7500 1
Sb1 0.0000 0.0000 0.5000 1

What is the electronic total energy in the second record?
-3.162 eV per atom

The highest V belongs to which entry?
Tl2GaAgSb2

Which value of electronic total energy does entry 3 give?
-3.002 eV per atom

Please write out number 3 again, unchanged.
# TlGaAgSb | Alexandria | GGA-PBE | relaxed
# Electronic total energy ... -3.002 eV per atom
# V ... 385.68 Å³ per cell
data_TlGaAgSb
_cell_length_a 7.2791
_cell_length_b 7.2791
_cell_length_c 7.2791
_cell_angle_alpha 90.00
_cell_angle_beta 90.00
_cell_angle_gamma 90.00
_space_group_name_H-M_alt 'F -4 3 m'
_space_group_IT_number 216
_space_group_name_Hall 'F -4 2 3'
loop_
_atom_site_label
_atom_site_fract_x
_atom_site_fract_y
_atom_site_fract_z
_atom_site_occupancy
Tl1 0.0000 0.0000 0.0000 1
Ga1 0.2500 0.2500 0.2500 1
Ag1 0.2500 0.2500 0.7500 1
Sb1 0.0000 0.0000 0.5000 1